First-principles (PBE-GGA) data for an optimized crystal structure of CuAg4, as listed in OQMD via LeMat-Bulk.

Computed properties:
Energy above the most stable polymorph in this dataset   0 meV/atom
DFT formation energy   0.024 eV per atom
Space-group type   P4/nmm (129)

a b c (Å): 2.9004 2.9004 19.8808
angles (deg): 90.00 90.00 90.00
Sites, in units of the cell vectors:
Cu1 0.2500 0.2500 0.0361
Cu2 0.7500 0.7500 0.9639
Ag1 0.2500 0.2500 0.2345
Ag2 0.2500 0.2500 0.4469
Ag3 0.2500 0.2500 0.6592
Ag4 0.2500 0.2500 0.8728
Ag5 0.7500 0.7500 0.1272
Ag6 0.7500 0.7500 0.3408
Ag7 0.7500 0.7500 0.5531
Ag8 0.7500 0.7500 0.7655